This record from Alexandria describes a geometry-optimized Ce3Pr2PuSe6 structure. The functional is PBE-GGA.

Summary:
Raw total energy in eV/atom: -7.0032

The structure in POSCAR format:
```
Ce3Pr2PuSe6
1.0
4.206 0.000 0.000
0.000 8.461 0.280
-2.103 -2.459 8.868
Se Pr Pu Ce
6 2 1 3
direct
0.664 0.079 0.329 Se
0.666 0.586 0.331 Se
0.334 0.414 0.669 Se
0.002 0.755 0.004 Se
0.998 0.245 0.996 Se
0.336 0.921 0.671 Se
0.833 0.667 0.667 Pr
0.167 0.333 0.333 Pr
0.500 0.000 0.000 Pu
0.500 0.500 0.000 Ce
0.168 0.834 0.336 Ce
0.832 0.166 0.664 Ce
```

***

This record from Alexandria describes a geometry-optimized Ce3Pr4PuSe8 structure. The functional is PBE-GGA.

Summary:
Raw total energy in eV/atom: -6.7488

The structure in POSCAR format:
```
Ce3Pr4PuSe8
1.0
8.471 0.000 0.000
0.000 8.443 -0.023
-4.236 -4.229 5.991
Se Ce Pr Pu
8 3 4 1
direct
0.252 0.255 0.503 Se
0.247 0.743 0.493 Se
0.753 0.257 0.507 Se
0.250 0.257 0.004 Se
0.247 0.743 0.996 Se
0.753 0.257 0.004 Se
0.750 0.743 0.996 Se
0.748 0.745 0.497 Se
0.500 0.500 0.500 Ce
0.000 0.500 0.500 Ce
0.500 0.500 0.000 Ce
0.500 0.000 0.500 Pr
0.000 0.000 0.000 Pr
0.500 0.000 0.000 Pr
0.000 0.000 0.500 Pr
0.000 0.500 0.000 Pu
```

***

This record from Alexandria describes a geometry-optimized CePr2PuSe4 structure. The functional is PBE-GGA.

Summary:
Raw total energy in eV/atom: -7.2402

The structure in POSCAR format:
```
CePr2PuSe4
1.0
-2.617 0.243 -3.291
2.202 -6.643 -2.242
-5.700 -0.728 4.479
Se Pr Ce Pu
4 2 1 1
direct
0.500 0.250 0.243 Se
0.500 0.750 0.757 Se
0.000 0.255 0.759 Se
0.000 0.745 0.241 Se
0.500 0.000 0.500 Pr
0.000 0.500 0.500 Pr
0.000 0.000 0.000 Ce
0.500 0.500 0.000 Pu
```